Zn2Sb2O | OQMD via LeMat-Bulk | PBE | optimized geometry; mass density = 5.19 Mg/m³; volume = 250 Å³ per cell; DFT total energy = -30.92 eV per cell; crystal system = orthorhombic
1.0
-1.8955 4.5897 2.1710
-2.9982 -4.3506 -1.2060
1.6924 -3.8065 9.5250
Sb Zn O
4 4 2
direct
0.6147 0.3853 0.3916 Sb
0.3853 0.6147 0.8916 Sb
0.3853 0.6147 0.6084 Sb
0.6147 0.3853 0.1084 Sb
0.7934 0.2066 0.8903 Zn
0.2066 0.7934 0.1097 Zn
0.7934 0.2066 0.6097 Zn
0.2066 0.7934 0.3903 Zn
0.7721 0.2279 0.2500 O
0.2279 0.7721 0.7500 O